*one*
DFT (GGA-PBE) results for AgHPd after structural relaxation.

## Properties
As for the space group: P4/mmm, No. 123.

a b c (Å): 4.0168 4.0136 4.4155
angles (deg): 90.00 89.99 90.00
Element x y z (fractional)
1 Ag 0.8135 0.8665 0.4196
2 Pd 0.3135 0.8665 0.9196
3 H 0.3134 0.3661 0.9195
4 H 0.8140 0.8667 0.9197
5 Ag 0.3135 0.3665 0.4197
6 Pd 0.8136 0.3665 0.9196

---

*two*
DFT (GGA-PBE) results for AgHPd after structural relaxation.

## Properties
As for the space group: C2/m, No. 12.

a b c (Å): 2.8960 5.5836 4.9000
angles (deg): 89.59 90.00 105.03
Element x y z (fractional)
1 H 0.6047 0.2094 0.0849
2 Ag 0.7988 0.5977 0.2586
3 Pd 0.9364 0.8729 0.7467
4 Ag 0.2012 0.4023 0.7414
5 Pd 0.0636 0.1271 0.2533
6 H 0.3953 0.7906 0.9151

---

*three*
DFT (GGA-PBE) results for AgHPd after structural relaxation.

## Properties
As for the space group: I4mm, No. 107.

a b c (Å): 3.7961 3.7961 4.0785
angles (deg): 117.73 117.73 90.00
Element x y z (fractional)
1 H 0.2935 0.2935 0.5870
2 Pd 0.5578 0.5578 0.1156
3 Ag 0.9987 0.9987 0.9974

---

Here are the energies relative to the best structure, in kJ/mol of atoms: *one* 0.0; *two* 13.1; *three* 43.3.